Material: SrTeRu4
Method: DFT, PBE
State: optimized geometry

As for the total moment: 7.6 Bohr magnetons per cell. The calculation puts the energy relative to the elements, uncorrected at 0.461 eV/atom. The value obtained for the density of states at the Fermi level is 38.3 states/eV/cell. The final energy is -156.6 eV/cell.

The structure belongs to space group F-43m (No. 216); the cell edges are 7.6146, 7.6146 and 7.6146 Å and the angles 90.00°, 90.00° and 90.00°. The asymmetric unit holds Sr at (0.0000, 0.0000, 0.0000), Te at (0.2500, 0.2500, 0.7500) and Ru at (0.1238, 0.1238, 0.3762).

***

Material: Sr2TeRu
Method: DFT, PBE
State: optimized geometry

As for the total moment: 2.0 Bohr magnetons per cell. The calculation puts the energy relative to the elements, uncorrected at -0.067 eV/atom. The value obtained for the density of states at the Fermi level is 4.4 states/eV/cell. The final energy is -16.0 eV/cell.

The structure belongs to space group P4mm (No. 99); the cell edges are 4.6296, 4.6296 and 6.6298 Å and the angles 90.00°, 90.00° and 90.00°. The asymmetric unit holds Sr at (0.0000, 0.0000, 0.0000), Sr at (0.5000, 0.5000, 0.4955), Te at (0.5000, 0.5000, 0.9953) and Ru at (0.0000, 0.0000, 0.4998).

***

Material: SrTe2Ru
Method: DFT, PBE
State: optimized geometry

As for the total moment: 0.0 Bohr magnetons per cell. The calculation puts the energy relative to the elements, uncorrected at -0.558 eV/atom. The value obtained for the energy above the most stable polymorph in this dataset is 103 meV per atom. The value obtained for the density of states at the Fermi level is 0.5 states/eV/cell. The final energy is -77.9 eV/cell.

The structure belongs to space group I-42d (No. 122); the cell edges are 8.0731, 8.0731 and 7.1910 Å and the angles 90.00°, 90.00° and 90.00°. The asymmetric unit holds Sr at (0.0000, 0.0000, 0.0000), Te at (0.1609, 0.2500, 0.6250) and Ru at (0.0000, 0.0000, 0.5000).

***

Material: SrTe2Ru
Method: DFT, PBE
State: optimized geometry

As for the total moment: 0.0 Bohr magnetons per cell. The calculation puts the energy relative to the elements, uncorrected at -0.488 eV/atom. The value obtained for the energy above the most stable polymorph in this dataset is 174 meV per atom. The value obtained for the density of states at the Fermi level is 2.2 states/eV/cell. The final energy is -38.4 eV/cell.

The structure belongs to space group Cmmm (No. 65); the cell edges are 6.2690, 8.7169 and 4.1159 Å and the angles 90.00°, 90.00° and 90.00°. The asymmetric unit holds Sr at (0.0000, 0.0000, 0.0000), Te at (0.0000, 0.3121, 0.5000) and Ru at (0.0000, 0.5000, 0.0000).

***

Material: SrTe4Ru
Method: DFT, PBE
State: optimized geometry

As for the total moment: 10.9 Bohr magnetons per cell. The calculation puts the energy relative to the elements, uncorrected at 0.484 eV/atom. The value obtained for the density of states at the Fermi level is 23.4 states/eV/cell. The final energy is -82.5 eV/cell.

The structure belongs to space group F-43m (No. 216); the cell edges are 9.0098, 9.0098 and 9.0098 Å and the angles 90.00°, 90.00° and 90.00°. The asymmetric unit holds Sr at (0.0000, 0.0000, 0.0000), Te at (0.1239, 0.1239, 0.6239) and Ru at (0.2500, 0.2500, 0.2500).

***

Material: SrThRu4
Method: DFT, PBE
State: optimized geometry

As for the total moment: 0.0 Bohr magnetons per cell. The value obtained for the density of states at the Fermi level is 35.2 states/eV/cell. The calculation puts the formation energy at 0.94 kJ/mol of atoms. The final energy is -184.6 eV/cell.

The structure belongs to space group F-43m (No. 216); the cell edges are 7.7023, 7.7023 and 7.7023 Å and the angles 90.00°, 90.00° and 90.00°. The asymmetric unit holds Sr at (0.0000, 0.0000, 0.0000), Th at (0.2500, 0.2500, 0.2500) and Ru at (0.1248, 0.1248, 0.6248).

***

Material: SrTh2Ru
Method: DFT, PBE
State: optimized geometry

As for the total moment: 0.0 Bohr magnetons per cell. The value obtained for the density of states at the Fermi level is 13.8 states/eV/cell. The calculation puts the formation energy at -4.63 kJ/mol of atoms. The final energy is -78.0 eV/cell.

The structure belongs to space group R-3m (No. 166, hexagonal axes); the cell edges are 4.0452, 4.0452 and 32.6667 Å and the angles 90.00°, 90.00° and 120.00°. The asymmetric unit holds Sr at (0.0000, 0.0000, 0.0000), Th at (0.0000, 0.0000, 0.1196) and Ru at (0.0000, 0.0000, 0.5000).

***

Material: SrTi2Ru2
Method: DFT, PBE
State: optimized geometry

As for the total moment: 0.0 Bohr magnetons per cell. The value obtained for the density of states at the Fermi level is 11.6 states/eV/cell. The calculation puts the formation energy at -8.98 kJ/mol of atoms. The final energy is -73.0 eV/cell.

The structure belongs to space group P4/mbm (No. 127); the cell edges are 7.8212, 7.8212 and 3.0439 Å and the angles 90.00°, 90.00° and 90.00°. The asymmetric unit holds Sr at (0.0000, 0.0000, 0.0000), Ti at (0.1341, 0.3659, 0.5000) and Ru at (0.1411, 0.6411, 0.0000).

***

Material: Sr2TiRu2
Method: DFT, PBE
State: optimized geometry

As for the total moment: 0.0 Bohr magnetons per cell. The value obtained for the energy above the most stable polymorph in this dataset is 0 meV per atom. The value obtained for the density of states at the Fermi level is 7.3 states/eV/cell. The calculation puts the formation energy at 24.49 kJ/mol of atoms. The final energy is -57.1 eV/cell.

The structure belongs to space group P4/mbm (No. 127); the cell edges are 6.6679, 6.6679 and 5.1767 Å and the angles 90.00°, 90.00° and 90.00°. The asymmetric unit holds Sr at (0.1758, 0.3242, 0.0000), Ti at (0.0000, 0.0000, 0.5000) and Ru at (0.1338, 0.6338, 0.5000).

***

Material: Sr2TiRu2
Method: DFT, PBE
State: optimized geometry

As for the total moment: 3.1 Bohr magnetons per cell. The value obtained for the energy above the most stable polymorph in this dataset is 865 meV per atom. The value obtained for the density of states at the Fermi level is 9.8 states/eV/cell. The calculation puts the formation energy at 107.91 kJ/mol of atoms. The final energy is -48.4 eV/cell.

The structure belongs to space group I4/mmm (No. 139); the cell edges are 4.2802, 4.2802 and 13.5004 Å and the angles 90.00°, 90.00° and 90.00°. The asymmetric unit holds Sr at (0.0000, 0.5000, 0.2500), Ti at (0.0000, 0.0000, 0.0000) and Ru at (0.0000, 0.0000, 0.4156).

***

Material: SrZr2TiRu
Method: DFT, PBE
State: optimized geometry

As for the total moment: 0.0 Bohr magnetons per cell. The value obtained for the density of states at the Fermi level is 9.3 states/eV/cell. The calculation puts the formation energy at 191.33 kJ/mol of atoms. The final energy is -26.0 eV/cell.

The structure belongs to space group P4/mmm (No. 123); the cell edges are 5.1007, 5.1007 and 4.6786 Å and the angles 90.00°, 90.00° and 90.00°. The asymmetric unit holds Sr at (0.0000, 0.0000, 0.0000), Zr at (0.0000, 0.5000, 0.0000), Ti at (0.5000, 0.5000, 0.5000) and Ru at (0.0000, 0.0000, 0.5000).

***

Material: Sr2TlRu
Method: DFT, PBE
State: optimized geometry

As for the total moment: 0.0 Bohr magnetons per cell. The value obtained for the density of states at the Fermi level is 7.2 states/eV/cell. The calculation puts the formation energy at 16.71 kJ/mol of atoms. The final energy is -28.6 eV/cell.

The structure belongs to space group Imm2 (No. 44); the cell edges are 3.7940, 5.4610 and 11.3209 Å and the angles 90.00°, 90.00° and 90.00°. The asymmetric unit holds Sr at (0.0000, 0.0000, 0.0000), Sr at (0.0000, 0.5000, 0.1972), Tl at (0.0000, 0.5000, 0.7925) and Ru at (0.0000, 0.0000, 0.4667).

***

Material: SrTlRu3
Method: DFT, PBE
State: optimized geometry

As for the total moment: 4.8 Bohr magnetons per cell. The value obtained for the energy above the most stable polymorph in this dataset is 0 meV per atom. The value obtained for the density of states at the Fermi level is 6.8 states/eV/cell. The calculation puts the formation energy at 152.80 kJ/mol of atoms. The final energy is -24.0 eV/cell.

The structure belongs to space group Pm-3m (No. 221); the cell edges are 5.0772, 5.0772 and 5.0772 Å and the angles 90.00°, 90.00° and 90.00°. The asymmetric unit holds Sr at (0.0000, 0.0000, 0.0000), Tl at (0.5000, 0.5000, 0.5000) and Ru at (0.0000, 0.5000, 0.5000).

***

Material: Sr2TlRu
Method: DFT, PBE
State: optimized geometry

As for the total moment: 0.0 Bohr magnetons per cell. The value obtained for the density of states at the Fermi level is 7.6 states/eV/cell. The calculation puts the formation energy at 9.73 kJ/mol of atoms. The final energy is -29.2 eV/cell.

The structure belongs to space group Amm2 (No. 38); the cell edges are 4.5137, 4.7077 and 11.8043 Å and the angles 90.00°, 90.00° and 90.00°. The asymmetric unit holds Sr at (0.0000, 0.0000, 0.0000), Sr at (0.5000, 0.0000, 0.2825), Tl at (0.0000, 0.0000, 0.7060) and Ru at (0.5000, 0.0000, 0.5782).